Record 1
This record from Alexandria describes crystalline Ca2YCo at its relaxed geometry. The functional is PBE.

a b c (Å): 6.2789 6.2789 6.2789
angles (deg): 138.89 138.89 59.54
Site moments in Bohr magnetons follow the coordinates.
Element x y z (fractional)
Y 0.7500 0.2500 0.5000  -0.26
Ca 0.0000 0.0000 0.0000  -0.05
Ca 0.5000 0.5000 0.0000  -0.05
Co 0.2500 0.7500 0.5000  0.97

Properties
The space-group type is No. 139. The density of states at the Fermi level comes out at 4.5 states/eV/f.u. The total energy comes out at -15.899 eV per formula unit. For the volume, the calculation gives 26.49 A^3/atom. Its mass density is 3.57 g/cm3. Its crystal system is tetragonal.



Record 2
This record from Alexandria describes crystalline CaRe2Ni at its relaxed geometry. The functional is PBE.

a b c (Å): 4.9304 2.6988 4.9269
angles (deg): 83.38 90.00 90.00
Element x y z (fractional)
Re 0.0000 0.9283 0.9985
Re 0.0000 0.5717 0.5015
Ca 0.5000 0.2500 0.2500
Ni 0.5000 0.7500 0.7500

Properties
The space-group type is No. 10. The density of states at the Fermi level comes out at 4.1 states/eV/f.u. The total energy comes out at -30.497 eV per formula unit. For the volume, the calculation gives 16.28 A^3/atom. Its mass density is 12.01 g/cm3. Its crystal system is monoclinic.



Record 3
This record from Alexandria describes crystalline RbCoTc2I at its relaxed geometry. The functional is PBE.

a b c (Å): 4.9686 4.9686 6.2921
angles (deg): 90.00 90.00 90.00
Site moments in Bohr magnetons follow the coordinates.
Element x y z (fractional)
I 0.0000 0.0000 0.0000  -0.01
Co 0.5000 0.5000 0.5000  2.07
Tc 0.0000 0.5000 0.0000  1.36
Tc 0.5000 0.0000 0.0000  1.36
Rb 0.0000 0.0000 0.5000  0.00

Properties
The space-group type is No. 123. The density of states at the Fermi level comes out at 16.2 states/eV/f.u. For the raw formation energy, the calculation gives 2.18 eV per atom. For the volume, the calculation gives 31.07 A^3/atom. Its mass density is 5.00 g/cm3. Its crystal system is tetragonal.



Record 4
This record from Alexandria describes crystalline K2Tl3TeO6 at its relaxed geometry. The functional is PBE.

a b c (Å): 6.8393 6.8393 6.2777
angles (deg): 100.91 100.91 123.55
Element x y z (fractional)
K 0.3277 0.6723 0.0000
K 0.6723 0.3277 0.0000
Tl 0.1567 0.8433 0.5000
Tl 0.8433 0.1567 0.5000
Tl 0.5000 0.5000 0.5000
Te 0.0000 0.0000 0.0000
O 0.9100 0.6784 0.8039
O 0.8322 0.8322 0.2077
O 0.0900 0.3216 0.1961
O 0.6784 0.9100 0.8039
O 0.1678 0.1678 0.7923
O 0.3216 0.0900 0.1961

Properties
The space-group type is No. 12. The density of states at the Fermi level comes out at 3.3 states/eV/f.u. For the raw formation energy, the calculation gives -1.03 eV per atom. For the volume, the calculation gives 18.69 A^3/atom. Its mass density is 6.77 g/cm3. Its crystal system is monoclinic.



Record 5
This record from Alexandria describes crystalline LaPuHg2 at its relaxed geometry. The functional is PBE.

a b c (Å): 5.4361 5.4361 5.4361
angles (deg): 60.00 60.00 60.00
Site moments in Bohr magnetons follow the coordinates.
Element x y z (fractional)
La 0.0000 0.0000 0.0000  0.12
Hg 0.2500 0.2500 0.2500  0.01
Hg 0.7500 0.7500 0.7500  0.01
Pu 0.5000 0.5000 0.5000  5.52

Properties
The space-group type is No. 225. The density of states at the Fermi level comes out at 12.5 states/eV/f.u. The total energy comes out at -21.013 eV per formula unit. For the volume, the calculation gives 28.40 A^3/atom. Its mass density is 11.46 g/cm3. Its crystal system is cubic.



Record 6
This record from Alexandria describes crystalline Tb2UIn9 at its relaxed geometry. The functional is PBE.

a b c (Å): 4.6305 4.6305 13.9536
angles (deg): 90.00 90.00 90.00
Site moments in Bohr magnetons follow the coordinates.
Element x y z (fractional)
Tb 0.0000 0.0000 0.3337  -0.02
Tb 0.0000 0.0000 0.6663  -0.02
U 0.0000 0.0000 0.0000  2.42
In 0.5000 0.5000 0.0000  0.01
In 0.5000 0.5000 0.3325  0.00
In 0.5000 0.5000 0.6675  0.00
In 0.5000 0.0000 0.1660  0.00
In 0.5000 0.0000 0.5000  -0.01
In 0.5000 0.0000 0.8340  0.00
In 0.0000 0.5000 0.1660  0.00
In 0.0000 0.5000 0.5000  -0.01
In 0.0000 0.5000 0.8340  0.00

Properties
The space-group type is No. 123. The density of states at the Fermi level comes out at 9.8 states/eV/f.u. The total energy comes out at -48.621 eV per formula unit. For the volume, the calculation gives 24.93 A^3/atom. Its mass density is 8.82 g/cm3. Its crystal system is tetragonal.



Record 7
This record from Alexandria describes crystalline GaCuSCl2 at its relaxed geometry. The functional is PBE.

a b c (Å): 4.8166 4.8166 4.6127
angles (deg): 90.00 90.00 90.00
Element x y z (fractional)
S 0.0000 0.0000 0.5000
Cu 0.0000 0.0000 0.0000
Ga 0.5000 0.5000 0.5000
Cl 0.0000 0.5000 0.0000
Cl 0.5000 0.0000 0.0000

Properties
The space-group type is No. 123. The density of states at the Fermi level comes out at 6.2 states/eV/f.u. For the raw formation energy, the calculation gives -0.12 eV per atom. For the volume, the calculation gives 21.40 A^3/atom. Its mass density is 3.67 g/cm3. Its crystal system is tetragonal.



Record 8
This record from Alexandria describes crystalline Nb6SnSb at its relaxed geometry. The functional is PBE.

a b c (Å): 4.8759 5.8583 5.8583
angles (deg): 114.90 90.00 90.00
Element x y z (fractional)
Nb 0.0000 0.0933 0.3988
Nb 0.0000 0.6012 0.9067
Nb 0.0000 0.6145 0.3855
Nb 0.5000 0.4075 0.1019
Nb 0.5000 0.8981 0.5925
Nb 0.5000 0.8845 0.1155
Sn 0.5000 0.4045 0.5955
Sb 0.0000 0.0962 0.9038

Properties
The space-group type is No. 38. The density of states at the Fermi level comes out at 5.0 states/eV/f.u. For the raw formation energy, the calculation gives -0.17 eV per atom. For the volume, the calculation gives 18.97 A^3/atom. Its mass density is 8.73 g/cm3. Its crystal system is orthorhombic.



What is the mass density in the third record?
5.00 g/cm3



Number 5 is which compound?
LaPuHg2